Below is crystalline LiNd6Ga2 at its relaxed geometry, with properties calculated at the PBE level.

Cell and atoms, written as POSCAR:
```
LiNd6Ga2
1.0
4.9882 0.0000 -0.1749
0.0000 7.5542 0.0000
-2.1999 -3.7771 7.7262
Li Nd Ga
1 6 2
Cartesian
0.0000 0.0000 0.0000 Li
0.1004 1.9199 2.5711 Nd
2.6879 -1.8572 4.9802 Nd
2.6879 1.8572 4.9802 Nd
2.4941 2.0034 -0.0874 Nd
0.1004 5.6343 2.5711 Nd
2.4941 5.5508 -0.0874 Nd
2.5938 3.7771 2.4654 Ga
0.1945 0.0000 5.0859 Ga
```

Properties
M_tot	0.00	μB/atom
DFT formation energy	-9.1	meV/atom
V	32.0	Å³ per atom
D(E_F)	1.54	states/eV/atom

Below is crystalline LiNdGa2 at its relaxed geometry, with properties calculated at the PBE level.

Cell and atoms, written as POSCAR:
```
LiNdGa2
1.0
3.4328 0.0000 0.0000
0.0000 3.4328 0.0000
0.0000 0.0000 6.9379
Nd Ga Li
1 2 1
Cartesian
1.7164 1.7164 3.4689 Nd
0.0000 0.0000 5.5706 Ga
0.0000 0.0000 1.3673 Ga
1.7164 1.7164 0.0000 Li
```

Properties
M_tot	0.00	μB/atom
DFT formation energy	-416.0	meV/atom
V	20.4	Å³ per atom
E above lowest polymorph	0.069	eV per atom
D(E_F)	0.49	states/eV/atom

Below is crystalline Li2Nd2Ga at its relaxed geometry, with properties calculated at the PBE level.

Cell and atoms, written as POSCAR:
```
Li2Nd2Ga
1.0
3.6047 0.0000 0.0000
0.0000 3.6047 0.0000
-1.8023 -1.8023 9.8652
Li Nd Ga
2 2 1
Cartesian
1.8023 0.0000 4.9326 Li
0.0000 1.8023 4.9326 Li
0.0000 0.0000 7.9805 Nd
1.8023 1.8023 1.8846 Nd
0.0000 0.0000 0.0000 Ga
```

Properties
M_tot	0.00	μB/atom
DFT formation energy	-94.7	meV/atom
V	25.6	Å³ per atom
D(E_F)	1.06	states/eV/atom

Below is crystalline LiNdGa2 at its relaxed geometry, with properties calculated at the PBE level.

Cell and atoms, written as POSCAR:
```
LiNdGa2
1.0
-4.0856 2.7410 -0.4051
-3.4903 -1.2395 -3.2636
-4.3297 -1.7760 1.5715
Nd Ga Li
1 2 1
Cartesian
0.0000 0.0000 0.0000 Nd
-2.9764 -0.0686 -0.5243 Ga
-8.9292 -0.2058 -1.5729 Ga
-5.9528 -0.1372 -1.0486 Li
```

Properties
M_tot	0.00	μB/atom
DFT formation energy	-441.0	meV/atom
V	21.3	Å³ per atom
E above lowest polymorph	0.044	eV per atom
D(E_F)	0.46	states/eV/atom

Below is crystalline Li2NdGa6 at its relaxed geometry, with properties calculated at the PBE level.

Cell and atoms, written as POSCAR:
```
Li2NdGa6
1.0
-2.1079 3.5290 0.4146
-2.4281 -0.6600 -6.7272
-2.4305 -4.4751 5.1505
Li Nd Ga
2 1 6
Cartesian
-5.8774 -0.9014 -1.6244 Li
-1.0890 -0.7048 0.4622 Li
-1.2140 -0.3300 -3.3636 Nd
-4.5447 0.1317 -3.6432 Ga
-2.4217 -1.7379 2.4810 Ga
-3.3313 -1.9852 -0.0393 Ga
-1.4690 1.6517 -0.9427 Ga
-3.0669 1.2173 -5.3700 Ga
-3.6351 0.3790 -1.1229 Ga
```

Properties
M_tot	0.00	μB/atom
DFT formation energy	-321.2	meV/atom
V	19.6	Å³ per atom
E above lowest polymorph	0.000	eV per atom
D(E_F)	0.46	states/eV/atom

Below is crystalline Li2NdGa6 at its relaxed geometry, with properties calculated at the PBE level.

Cell and atoms, written as POSCAR:
```
Li2NdGa6
1.0
3.4441 0.0000 0.0000
0.0000 6.7053 -3.8713
0.0000 0.0000 7.7426
Li Nd Ga
2 1 6
Cartesian
0.0000 2.2351 3.8713 Li
3.4441 4.4702 0.0000 Li
0.0000 0.0000 7.7426 Nd
1.7220 2.2758 1.3139 Ga
1.7221 4.4295 2.5574 Ga
1.7221 0.0000 5.1147 Ga
1.7220 4.4295 5.1852 Ga
1.7220 2.2758 -1.3139 Ga
1.7220 0.0000 2.6279 Ga
```

Properties
M_tot	0.00	μB/atom
DFT formation energy	-314.8	meV/atom
V	19.9	Å³ per atom
E above lowest polymorph	0.006	eV per atom
D(E_F)	0.40	states/eV/atom

Below is crystalline Li5NdGa2 at its relaxed geometry, with properties calculated at the PBE level.

Cell and atoms, written as POSCAR:
```
Li5NdGa2
1.0
3.7756 0.0000 0.0000
1.8878 6.6854 -0.4430
1.8878 1.5889 6.5089
Li Nd Ga
5 1 2
Cartesian
1.8878 4.1371 3.0330 Li
3.7756 3.7997 0.7391 Li
3.7756 4.4746 5.3268 Li
3.7756 6.4262 2.6646 Li
3.7756 1.8481 3.4013 Li
0.0000 0.0000 0.0000 Nd
5.6634 6.3389 4.6471 Ga
1.8878 1.9354 1.4188 Ga
```

Properties
M_tot	0.00	μB/atom
DFT formation energy	-183.2	meV/atom
V	20.9	Å³ per atom
D(E_F)	0.57	states/eV/atom

Below is crystalline LiNdGa at its relaxed geometry, with properties calculated at the PBE level.

Cell and atoms, written as POSCAR:
```
LiNdGa
1.0
-1.5750 3.1303 -0.3130
-1.5475 -0.4662 3.1250
5.8640 1.0819 1.0848
Nd Ga Li
1 1 1
Cartesian
2.2250 3.4563 3.5979 Nd
2.2390 1.2561 1.2961 Ga
-0.2720 2.0554 2.1524 Li
```

Properties
M_tot	0.00	μB/atom
DFT formation energy	-217.6	meV/atom
V	22.8	Å³ per atom
E above lowest polymorph	0.164	eV per atom
D(E_F)	1.16	states/eV/atom

Below is crystalline LiNd2Ga7 at its relaxed geometry, with properties calculated at the PBE level.

Cell and atoms, written as POSCAR:
```
LiNd2Ga7
1.0
4.2658 0.0000 0.0000
0.0000 4.2658 0.0000
0.0000 0.0000 10.9443
Li Nd Ga
1 2 7
Cartesian
2.1329 2.1329 0.0000 Li
2.1329 0.0000 8.1836 Nd
0.0000 2.1329 2.7607 Nd
0.0000 2.1329 9.4826 Ga
2.1329 0.0000 3.9394 Ga
2.1329 0.0000 1.4616 Ga
0.0000 2.1329 7.0049 Ga
0.0000 0.0000 5.4721 Ga
0.0000 0.0000 0.0000 Ga
2.1329 2.1329 5.4721 Ga
```

Properties
M_tot	0.00	μB/atom
DFT formation energy	-486.4	meV/atom
V	19.9	Å³ per atom
D(E_F)	0.20	states/eV/atom

Below is crystalline LiNd3Ga at its relaxed geometry, with properties calculated at the PBE level.

Cell and atoms, written as POSCAR:
```
LiNd3Ga
1.0
-2.9537 3.5468 -2.4493
-3.6087 -0.4177 3.7469
3.1097 9.2166 4.0225
Li Nd Ga
2 6 2
Cartesian
-2.0048 7.6992 4.3793 Li
-0.4092 3.3992 1.8021 Li
-2.7175 3.8232 -0.3738 Nd
0.6556 9.2972 3.4851 Nd
-1.0391 6.5470 1.5463 Nd
-3.0696 1.8012 2.6962 Nd
-2.6501 10.8219 4.1058 Nd
-1.3748 4.5515 4.6350 Nd
-3.6719 4.9938 2.4721 Ga
-1.6958 9.6514 1.2599 Ga
```

Properties
M_tot	0.00	μB/atom
DFT formation energy	-210.8	meV/atom
V	27.8	Å³ per atom
E above lowest polymorph	0.000	eV per atom
D(E_F)	1.05	states/eV/atom

Below is crystalline LiNd3Ga at its relaxed geometry, with properties calculated at the PBE level.

Cell and atoms, written as POSCAR:
```
LiNd3Ga
1.0
-3.9412 -0.9964 -5.7840
-2.6259 -6.5441 2.9167
-8.7855 3.1968 5.4357
Li Nd Ga
4 12 4
Cartesian
-5.0808 0.8389 1.4251 Li
-10.2719 -5.1827 1.1433 Li
-5.6347 -6.7193 -1.2159 Li
-9.7179 2.3755 3.7843 Li
-4.5570 -4.3873 3.5649 Nd
-10.7956 0.0435 -0.9965 Nd
-4.7023 -1.1250 -1.2187 Nd
-10.6503 -3.2189 3.7871 Nd
-7.2904 -4.1820 0.9145 Nd
-8.0622 -0.1618 1.6539 Nd
-2.1121 -1.3664 1.2215 Nd
-13.2405 -2.9774 1.3468 Nd
-7.3141 -2.5394 4.1861 Nd
-8.0386 -1.8044 -1.6177 Nd
-11.5875 0.0073 2.3386 Nd
-3.7651 -4.3511 0.2298 Nd
-5.7544 -4.0440 -2.0829 Ga
-9.5982 -0.2998 4.6513 Ga
-5.4059 -1.9489 1.6393 Ga
-9.9467 -2.3949 0.9291 Ga
```

Properties
M_tot	0.00	μB/atom
DFT formation energy	-149.8	meV/atom
V	28.5	Å³ per atom
E above lowest polymorph	0.061	eV per atom
D(E_F)	1.04	states/eV/atom

Below is crystalline LiNd8Ga2 at its relaxed geometry, with properties calculated at the PBE level.

Cell and atoms, written as POSCAR:
```
LiNd8Ga2
1.0
5.1502 0.0000 0.0000
0.0000 7.1779 0.4871
-2.5751 -2.4651 8.8409
Li Nd Ga
1 8 2
Cartesian
2.5751 0.0000 0.0000 Li
0.0000 1.8418 7.4359 Nd
2.5751 6.0470 3.3723 Nd
2.5751 3.5225 5.7285 Nd
2.5751 -0.5343 8.4417 Nd
0.0000 1.1903 3.5994 Nd
0.0000 -1.3342 5.9557 Nd
2.5751 2.8710 1.8920 Nd
0.0000 5.2470 0.8863 Nd
2.5751 0.4563 5.4913 Ga
0.0000 4.2565 3.8367 Ga
```

Properties
M_tot	0.00	μB/atom
DFT formation energy	-163.4	meV/atom
V	30.3	Å³ per atom
D(E_F)	0.96	states/eV/atom